[1]
OsSeCl2: optimized geometry, PBE.

abc: 2.8774 5.4903 11.3380
angles: 90.00 90.00 90.00
Space group Cmmm (No. 65)
Unique sites:
Os (0.0000, 0.0000, 0.0000) [2 per cell]
Se (0.0000, 0.0000, 0.5000) [2 per cell]
Cl (0.0000, 0.5000, 0.1662) [4 per cell]

Properties
Its spin magnetization is 0.4 μB per cell. For the theoretical density, the calculation gives 6.31 g cm⁻³. Its total energy is -4.1610 eV per atom. The uncorrected formation energy comes out at 0.441 eV per atom. The calculation puts the relative energy among the computed polymorphs at 214.5 kJ/mol of formula units.

=====

[2]
ScSbIN2: optimized geometry, PBE.

abc: 4.3033 4.3033 5.7136
angles: 90.00 90.00 90.00
Space group P4/mmm (No. 123)
Unique sites:
Sc (0.0000, 0.0000, 0.0000) [1 per cell]
Sb (0.5000, 0.5000, 0.5000) [1 per cell]
I (0.0000, 0.0000, 0.5000) [1 per cell]
N (0.0000, 0.5000, 0.0000) [2 per cell]

Properties
Its spin magnetization is 0.0 μB per cell. For the theoretical density, the calculation gives 5.05 g cm⁻³. Its total energy is -4.9528 eV per atom. The uncorrected formation energy comes out at 0.778 eV per atom. The calculation puts the relative energy among the computed polymorphs at 0.0 kJ/mol of formula units.

=====

[3]
NiPtS: optimized geometry, PBE.

abc: 13.9101 3.4274 3.9911
angles: 90.00 96.56 90.00
Space group Cm (No. 8)
Unique sites:
Ni (0.0000, 0.0000, 0.0000) [2 per cell]
Ni (0.1905, 0.0000, 0.8685) [2 per cell]
Pt (0.1543, 0.5000, 0.3351) [2 per cell]
Pt (0.3087, 0.0000, 0.4086) [2 per cell]
S (0.0598, 0.0000, 0.5243) [2 per cell]
S (0.3952, 0.0000, 0.9484) [2 per cell]

Properties
Its spin magnetization is 0.0 μB per cell. For the theoretical density, the calculation gives 10.04 g cm⁻³. Its total energy is -5.4688 eV per atom. The uncorrected formation energy comes out at -0.152 eV per atom. The calculation puts the relative energy among the computed polymorphs at 6.6 kJ/mol of formula units.